! HgPdS, optimized geometry, DFT PBE-GGA; values from VASP
! crystal system	triclinic
! D(E_F)	0.31	states/eV per atom
! formation energy from raw total energies	-0.164	eV/atom
! space group	P-1, No. 2
&SYSTEM
  ibrav = 0, nat = 6, ntyp = 3
/
ATOMIC_SPECIES
Hg 200.59 Hg.upf
Pd 106.42 Pd.upf
S 32.06 S.upf
ATOMIC_POSITIONS angstrom
Hg 0.8100 1.7920 0.7051
Hg 4.0971 4.9404 5.8028
Pd 0.8080 0.4087 3.2539
Pd 0.8084 3.3662 3.2539
S 2.4528 1.8918 4.2783
S 2.4542 4.8406 2.2295
CELL_PARAMETERS angstrom
3.2902 0.0000 0.0000
0.0009 5.9149 0.0000
1.6160 0.8174 6.5079


! ScBe3Os, optimized geometry, DFT PBE-GGA; values from VASP
! crystal system	cubic
! energy of formation	11.3	eV/f.u.
! D(E_F)	2.23	states/eV per atom
! space group	Pm-3m, No. 221
&SYSTEM
  ibrav = 0, nat = 5, ntyp = 3
/
ATOMIC_SPECIES
Sc 44.96 Sc.upf
Be 9.01 Be.upf
Os 190.23 Os.upf
ATOMIC_POSITIONS angstrom
Sc 0.0000 0.0000 0.0000
Be 0.0000 0.0000 2.0671
Be 0.0000 2.0671 0.0000
Be 2.0671 0.0000 0.0000
Os 2.0671 2.0671 2.0671
CELL_PARAMETERS angstrom
4.1341 0.0000 0.0000
0.0000 4.1341 0.0000
0.0000 0.0000 4.1341


! HoTmAlAu, optimized geometry, DFT PBE-GGA; values from VASP
! crystal system	tetragonal
! energy of formation	-2.5	eV/f.u.
! D(E_F)	0.38	states/eV per atom
! space group	P4mm, No. 99
&SYSTEM
  ibrav = 0, nat = 4, ntyp = 4
/
ATOMIC_SPECIES
Ho 164.93 Ho.upf
Tm 168.93 Tm.upf
Al 26.98 Al.upf
Au 196.97 Au.upf
ATOMIC_POSITIONS angstrom
Ho 0.0000 0.0000 0.0000
Tm 0.0000 0.0000 3.5835
Al 1.7640 1.7640 5.4632
Au 1.7640 1.7640 1.8611
CELL_PARAMETERS angstrom
3.5280 0.0000 0.0000
0.0000 3.5280 0.0000
0.0000 0.0000 7.3770


! CrIr2Au, optimized geometry, DFT PBE-GGA; values from VASP
! crystal system	orthorhombic
! energy of formation	1.6	eV/f.u.
! D(E_F)	1.40	states/eV per atom
! space group	Cmm2, No. 35
&SYSTEM
  ibrav = 0, nat = 4, ntyp = 3
/
ATOMIC_SPECIES
Cr 52.00 Cr.upf
Ir 192.22 Ir.upf
Au 196.97 Au.upf
ATOMIC_POSITIONS angstrom
Cr 0.0000 0.0000 0.0000
Ir 0.0000 0.0000 4.4747
Ir 1.3769 0.0000 2.0907
Au 1.3769 0.0000 7.0215
CELL_PARAMETERS angstrom
1.3769 -2.3344 0.0000
1.3769 2.3344 0.0000
0.0000 0.0000 9.4093


! Y3TmAu4, optimized geometry, DFT PBE-GGA; values from VASP
! crystal system	tetragonal
! energy of formation	-6.9	eV/f.u.
! D(E_F)	0.65	states/eV per atom
! space group	P4/mmm, No. 123
&SYSTEM
  ibrav = 0, nat = 8, ntyp = 3
/
ATOMIC_SPECIES
Y 88.91 Y.upf
Tm 168.93 Tm.upf
Au 196.97 Au.upf
ATOMIC_POSITIONS angstrom
Y 0.0000 0.0000 0.0000
Y 0.0000 0.0000 3.6349
Y 0.0000 0.0000 10.7843
Tm 0.0000 0.0000 7.2096
Au 1.7937 1.7937 1.8033
Au 1.7937 1.7937 5.4901
Au 1.7937 1.7937 8.9291
Au 1.7937 1.7937 12.6159
CELL_PARAMETERS angstrom
3.5874 0.0000 0.0000
0.0000 3.5874 0.0000
0.0000 0.0000 14.4192


! GdNbFe2, optimized geometry, DFT PBE-GGA; values from VASP
! crystal system	tetragonal
! energy of formation	0.3	eV/f.u.
! D(E_F)	1.25	states/eV per atom
! space group	P4/mmm, No. 123
&SYSTEM
  ibrav = 0, nat = 4, ntyp = 3
/
ATOMIC_SPECIES
Gd 157.25 Gd.upf
Nb 92.91 Nb.upf
Fe 55.84 Fe.upf
ATOMIC_POSITIONS angstrom
Gd 0.0000 0.0000 0.0000
Nb 0.0000 0.0000 3.3913
Fe 1.5828 1.5828 2.0182
Fe 1.5828 1.5828 4.7644
CELL_PARAMETERS angstrom
3.1656 0.0000 0.0000
0.0000 3.1656 0.0000
0.0000 0.0000 6.7826


VASP energy (computed, Ha/atom): -0.1239 -0.1279 -0.1708 -0.2666 -0.2017 -0.3750